A geometry-optimized La12Re3N5 structure, computed with PBE. Values from VASP.

Structure (Quantum ESPRESSO input):
```
&SYSTEM
  ibrav = 0, nat = 80, ntyp = 3
/
ATOMIC_SPECIES
La 138.91 La.upf
Re 186.21 Re.upf
N 14.01 N.upf
CELL_PARAMETERS angstrom
-8.005 8.005 8.005
8.005 -8.005 8.005
8.005 8.005 -8.005
ATOMIC_POSITIONS crystal
La 0.026 0.205 0.125
La 0.026 0.321 0.900
La 0.079 0.705 0.679
La 0.079 0.875 0.400
La 0.100 0.625 0.421
La 0.100 0.974 0.679
La 0.125 0.026 0.205
La 0.125 0.600 0.921
La 0.179 0.205 0.579
La 0.179 0.474 0.600
La 0.205 0.125 0.026
La 0.205 0.579 0.179
La 0.295 0.321 0.921
La 0.295 0.474 0.375
La 0.321 0.900 0.026
La 0.321 0.921 0.295
La 0.375 0.295 0.474
La 0.375 0.579 0.900
La 0.400 0.079 0.875
La 0.400 0.821 0.526
La 0.421 0.100 0.625
La 0.421 0.821 0.795
La 0.474 0.375 0.295
La 0.474 0.600 0.179
La 0.526 0.400 0.821
La 0.526 0.625 0.705
La 0.579 0.179 0.205
La 0.579 0.900 0.375
La 0.600 0.179 0.474
La 0.600 0.921 0.125
La 0.625 0.421 0.100
La 0.625 0.705 0.526
La 0.679 0.079 0.705
La 0.679 0.100 0.974
La 0.705 0.526 0.625
La 0.705 0.679 0.079
La 0.795 0.421 0.821
La 0.795 0.875 0.974
La 0.821 0.526 0.400
La 0.821 0.795 0.421
La 0.875 0.400 0.079
La 0.875 0.974 0.795
La 0.900 0.026 0.321
La 0.900 0.375 0.579
La 0.921 0.125 0.600
La 0.921 0.295 0.321
La 0.974 0.679 0.100
La 0.974 0.795 0.875
Re 0.125 0.250 0.375
Re 0.125 0.375 0.750
Re 0.250 0.375 0.125
Re 0.250 0.875 0.625
Re 0.375 0.125 0.250
Re 0.375 0.750 0.125
Re 0.625 0.250 0.875
Re 0.625 0.875 0.750
Re 0.750 0.125 0.375
Re 0.750 0.625 0.875
Re 0.875 0.625 0.250
Re 0.875 0.750 0.625
N 0.000 0.000 0.000
N 0.000 0.000 0.500
N 0.000 0.500 0.000
N 0.000 0.500 0.500
N 0.125 0.750 0.875
N 0.125 0.875 0.250
N 0.250 0.125 0.875
N 0.250 0.625 0.375
N 0.375 0.250 0.625
N 0.375 0.625 0.750
N 0.500 0.000 0.000
N 0.500 0.000 0.500
N 0.500 0.500 0.000
N 0.500 0.500 0.500
N 0.625 0.375 0.250
N 0.625 0.750 0.375
N 0.750 0.375 0.625
N 0.750 0.875 0.125
N 0.875 0.125 0.750
N 0.875 0.250 0.125
```


A geometry-optimized LaReN3 structure, computed with PBE. Values from VASP.

Structure (Quantum ESPRESSO input):
```
&SYSTEM
  ibrav = 0, nat = 10, ntyp = 3
/
ATOMIC_SPECIES
La 138.91 La.upf
Re 186.21 Re.upf
N 14.01 N.upf
CELL_PARAMETERS angstrom
4.081 0.000 0.000
-2.041 3.534 0.000
0.000 0.000 8.322
ATOMIC_POSITIONS crystal
La 0.333 0.667 0.250
La 0.667 0.333 0.750
Re 0.000 0.000 0.000
Re 0.000 0.000 0.500
N 0.000 0.000 0.250
N 0.000 0.000 0.750
N 0.333 0.667 0.542
N 0.333 0.667 0.958
N 0.667 0.333 0.042
N 0.667 0.333 0.458
```


A geometry-optimized La2Re2N7 structure, computed with PBE. Values from VASP.

Structure (Quantum ESPRESSO input):
```
&SYSTEM
  ibrav = 0, nat = 11, ntyp = 3
/
ATOMIC_SPECIES
La 138.91 La.upf
Re 186.21 Re.upf
N 14.01 N.upf
CELL_PARAMETERS angstrom
3.907 -4.975 0.000
3.907 4.975 0.000
-1.096 0.000 5.017
ATOMIC_POSITIONS crystal
La 0.200 0.800 0.000
La 0.800 0.200 0.000
Re 0.280 0.280 0.587
Re 0.720 0.720 0.413
N 0.107 0.405 0.778
N 0.117 0.117 0.278
N 0.405 0.107 0.778
N 0.500 0.500 0.500
N 0.595 0.893 0.222
N 0.883 0.883 0.722
N 0.893 0.595 0.222
```


A geometry-optimized LaRe2N structure, computed with PBE. Values from VASP.

Structure (Quantum ESPRESSO input):
```
&SYSTEM
  ibrav = 0, nat = 8, ntyp = 3
/
ATOMIC_SPECIES
La 138.91 La.upf
Re 186.21 Re.upf
N 14.01 N.upf
CELL_PARAMETERS angstrom
-2.525 2.525 6.398
2.525 -2.525 6.398
2.525 2.525 -6.398
ATOMIC_POSITIONS crystal
La 0.375 0.625 0.750
La 0.625 0.375 0.250
Re 0.000 0.000 0.000
Re 0.000 0.000 0.500
Re 0.000 0.500 0.000
Re 0.500 0.000 0.500
N 0.125 0.875 0.250
N 0.875 0.125 0.750
```


A geometry-optimized LaReN3 structure, computed with PBE. Values from VASP.

Structure (Quantum ESPRESSO input):
```
&SYSTEM
  ibrav = 0, nat = 10, ntyp = 3
/
ATOMIC_SPECIES
La 138.91 La.upf
Re 186.21 Re.upf
N 14.01 N.upf
CELL_PARAMETERS angstrom
4.146 0.000 0.000
0.152 6.625 0.000
1.795 2.682 5.816
ATOMIC_POSITIONS crystal
La 0.000 0.000 0.000
La 0.382 0.580 0.618
Re 0.560 0.358 0.217
Re 0.829 0.053 0.496
N 0.143 0.272 0.464
N 0.468 0.259 0.978
N 0.480 0.908 0.744
N 0.677 0.617 0.205
N 0.787 0.383 0.887
N 0.991 0.836 0.405
```


A geometry-optimized LaReN3 structure, computed with PBE. Values from VASP.

Structure (Quantum ESPRESSO input):
```
&SYSTEM
  ibrav = 0, nat = 10, ntyp = 3
/
ATOMIC_SPECIES
La 138.91 La.upf
Re 186.21 Re.upf
N 14.01 N.upf
CELL_PARAMETERS angstrom
6.482 0.000 0.000
0.000 1.785 7.048
0.000 -1.785 7.048
ATOMIC_POSITIONS crystal
La 0.000 0.000 0.000
La 0.500 0.323 0.323
Re 0.000 0.749 0.749
Re 0.500 0.562 0.562
N 0.000 0.623 0.623
N 0.233 0.819 0.819
N 0.289 0.479 0.479
N 0.500 0.121 0.121
N 0.711 0.479 0.479
N 0.767 0.819 0.819
```


A geometry-optimized La4ReN5 structure, computed with PBE. Values from VASP.

Structure (Quantum ESPRESSO input):
```
&SYSTEM
  ibrav = 0, nat = 10, ntyp = 3
/
ATOMIC_SPECIES
La 138.91 La.upf
Re 186.21 Re.upf
N 14.01 N.upf
CELL_PARAMETERS angstrom
-3.912 3.912 2.709
3.912 -3.912 2.709
3.912 3.912 -2.709
ATOMIC_POSITIONS crystal
La 0.107 0.304 0.412
La 0.304 0.893 0.197
La 0.696 0.107 0.803
La 0.893 0.696 0.588
Re 0.571 0.571 0.000
N 0.260 0.604 0.832
N 0.427 0.260 0.656
N 0.604 0.771 0.344
N 0.771 0.427 0.168
N 0.918 0.918 0.000
```


A geometry-optimized LaReN3 structure, computed with PBE. Values from VASP.

Structure (Quantum ESPRESSO input):
```
&SYSTEM
  ibrav = 0, nat = 10, ntyp = 3
/
ATOMIC_SPECIES
La 138.91 La.upf
Re 186.21 Re.upf
N 14.01 N.upf
CELL_PARAMETERS angstrom
1.959 -7.595 0.000
1.959 7.595 0.000
0.000 0.000 4.657
ATOMIC_POSITIONS crystal
La 0.138 0.862 0.750
La 0.862 0.138 0.250
Re 0.452 0.548 0.750
Re 0.548 0.452 0.250
N 0.049 0.951 0.250
N 0.318 0.682 0.610
N 0.318 0.682 0.890
N 0.682 0.318 0.110
N 0.682 0.318 0.390
N 0.951 0.049 0.750
```


A geometry-optimized La3Re2N6 structure, computed with PBE. Values from VASP.

Structure (Quantum ESPRESSO input):
```
&SYSTEM
  ibrav = 0, nat = 11, ntyp = 3
/
ATOMIC_SPECIES
La 138.91 La.upf
Re 186.21 Re.upf
N 14.01 N.upf
CELL_PARAMETERS angstrom
-1.982 1.982 10.015
1.982 -1.982 10.015
1.982 1.982 -10.015
ATOMIC_POSITIONS crystal
La 0.000 0.000 0.000
La 0.184 0.184 0.000
La 0.816 0.816 0.000
Re 0.406 0.406 0.000
Re 0.594 0.594 0.000
N 0.088 0.588 0.500
N 0.303 0.303 0.000
N 0.412 0.912 0.500
N 0.588 0.088 0.500
N 0.697 0.697 0.000
N 0.912 0.412 0.500
```


A geometry-optimized LaReN3 structure, computed with PBE. Values from VASP.

Structure (Quantum ESPRESSO input):
```
&SYSTEM
  ibrav = 0, nat = 10, ntyp = 3
/
ATOMIC_SPECIES
La 138.91 La.upf
Re 186.21 Re.upf
N 14.01 N.upf
CELL_PARAMETERS angstrom
5.241 0.000 0.000
-0.122 5.393 0.000
-2.207 -2.708 5.408
ATOMIC_POSITIONS crystal
La 0.000 0.000 0.000
La 0.417 0.396 0.834
Re 0.098 0.680 0.363
Re 0.724 0.029 0.379
N 0.030 0.003 0.629
N 0.065 0.386 0.434
N 0.440 0.879 0.433
N 0.503 0.881 0.998
N 0.525 0.164 0.117
N 0.953 0.511 0.021
```


A geometry-optimized LaReN3 structure, computed with PBE. Values from VASP.

Structure (Quantum ESPRESSO input):
```
&SYSTEM
  ibrav = 0, nat = 10, ntyp = 3
/
ATOMIC_SPECIES
La 138.91 La.upf
Re 186.21 Re.upf
N 14.01 N.upf
CELL_PARAMETERS angstrom
-2.805 3.942 2.820
2.805 -3.942 2.820
2.805 3.942 -2.820
ATOMIC_POSITIONS crystal
La 0.253 0.003 0.250
La 0.747 0.997 0.750
Re 0.000 0.500 0.500
Re 0.500 0.500 0.000
N 0.201 0.451 0.750
N 0.276 0.000 0.776
N 0.276 0.500 0.276
N 0.724 0.000 0.224
N 0.724 0.500 0.724
N 0.799 0.549 0.250
```


A geometry-optimized LaReN3 structure, computed with PBE. Values from VASP.

Structure (Quantum ESPRESSO input):
```
&SYSTEM
  ibrav = 0, nat = 10, ntyp = 3
/
ATOMIC_SPECIES
La 138.91 La.upf
Re 186.21 Re.upf
N 14.01 N.upf
CELL_PARAMETERS angstrom
4.093 0.000 0.000
-0.001 5.745 0.000
-0.238 -2.869 6.936
ATOMIC_POSITIONS crystal
La 0.000 0.000 0.000
La 0.474 0.351 0.699
Re 0.537 0.658 0.192
Re 0.938 0.817 0.509
N 0.011 0.745 0.230
N 0.463 0.865 0.470
N 0.496 0.325 0.097
N 0.501 0.756 0.975
N 0.973 0.132 0.725
N 0.979 0.580 0.605
```


A geometry-optimized LaReN3 structure, computed with PBE. Values from VASP.

Structure (Quantum ESPRESSO input):
```
&SYSTEM
  ibrav = 0, nat = 10, ntyp = 3
/
ATOMIC_SPECIES
La 138.91 La.upf
Re 186.21 Re.upf
N 14.01 N.upf
CELL_PARAMETERS angstrom
3.996 0.000 0.000
-1.996 6.107 0.000
-1.992 -2.579 6.827
ATOMIC_POSITIONS crystal
La 0.000 0.000 0.000
La 0.079 0.449 0.708
Re 0.273 0.977 0.569
Re 0.571 0.689 0.452
N 0.293 0.166 0.420
N 0.331 0.326 0.341
N 0.408 0.759 0.058
N 0.466 0.719 0.212
N 0.482 0.133 0.831
N 0.690 0.654 0.723
```


A geometry-optimized LaReN3 structure, computed with PBE. Values from VASP.

Structure (Quantum ESPRESSO input):
```
&SYSTEM
  ibrav = 0, nat = 10, ntyp = 3
/
ATOMIC_SPECIES
La 138.91 La.upf
Re 186.21 Re.upf
N 14.01 N.upf
CELL_PARAMETERS angstrom
5.586 0.000 0.000
2.766 4.919 0.000
2.768 -1.360 4.726
ATOMIC_POSITIONS crystal
La 0.000 0.000 0.000
La 0.000 0.487 0.511
Re 0.444 0.311 0.823
Re 0.501 0.742 0.254
N 0.415 0.559 0.071
N 0.477 0.562 0.559
N 0.480 0.046 0.073
N 0.746 0.969 0.481
N 0.959 0.016 0.525
N 0.980 0.485 0.998
```


A geometry-optimized LaRe3N8 structure, computed with PBE. Values from VASP.

Structure (Quantum ESPRESSO input):
```
&SYSTEM
  ibrav = 0, nat = 12, ntyp = 3
/
ATOMIC_SPECIES
La 138.91 La.upf
Re 186.21 Re.upf
N 14.01 N.upf
CELL_PARAMETERS angstrom
5.718 0.000 0.000
-2.859 4.952 0.000
0.000 0.000 6.650
ATOMIC_POSITIONS crystal
La 0.000 0.000 0.000
Re 0.000 0.000 0.500
Re 0.333 0.667 0.766
Re 0.667 0.333 0.234
N 0.156 0.313 0.681
N 0.156 0.844 0.681
N 0.313 0.156 0.319
N 0.333 0.667 0.030
N 0.667 0.333 0.970
N 0.687 0.844 0.681
N 0.844 0.156 0.319
N 0.844 0.687 0.319
```


A geometry-optimized LaReN3 structure, computed with PBE. Values from VASP.

Structure (Quantum ESPRESSO input):
```
&SYSTEM
  ibrav = 0, nat = 5, ntyp = 3
/
ATOMIC_SPECIES
La 138.91 La.upf
Re 186.21 Re.upf
N 14.01 N.upf
CELL_PARAMETERS angstrom
3.356 0.000 0.000
0.000 5.732 0.000
0.000 0.000 3.712
ATOMIC_POSITIONS crystal
La 0.000 0.000 0.000
Re 0.500 0.500 0.655
N 0.000 0.500 0.910
N 0.500 0.218 0.429
N 0.500 0.782 0.429
```


A geometry-optimized LaReN3 structure, computed with PBE. Values from VASP.

Structure (Quantum ESPRESSO input):
```
&SYSTEM
  ibrav = 0, nat = 5, ntyp = 3
/
ATOMIC_SPECIES
La 138.91 La.upf
Re 186.21 Re.upf
N 14.01 N.upf
CELL_PARAMETERS angstrom
3.969 0.000 0.000
0.626 4.026 0.000
0.790 1.259 4.599
ATOMIC_POSITIONS crystal
La 0.000 0.000 0.000
Re 0.479 0.433 0.447
N 0.006 0.409 0.420
N 0.449 0.478 0.823
N 0.604 0.570 0.004
```


A geometry-optimized LaReN3 structure, computed with PBE. Values from VASP.

Structure (Quantum ESPRESSO input):
```
&SYSTEM
  ibrav = 0, nat = 10, ntyp = 3
/
ATOMIC_SPECIES
La 138.91 La.upf
Re 186.21 Re.upf
N 14.01 N.upf
CELL_PARAMETERS angstrom
4.443 0.000 0.000
-0.233 6.034 0.000
-0.512 -2.721 6.402
ATOMIC_POSITIONS crystal
La 0.000 0.000 0.000
La 0.487 0.845 0.507
Re 0.014 0.302 0.596
Re 0.509 0.497 0.775
N 0.018 0.019 0.363
N 0.279 0.452 0.160
N 0.354 0.480 0.011
N 0.458 0.851 0.858
N 0.808 0.235 0.790
N 0.809 0.558 0.568
```


A geometry-optimized LaRe2N6 structure, computed with PBE. Values from VASP.

Structure (Quantum ESPRESSO input):
```
&SYSTEM
  ibrav = 0, nat = 18, ntyp = 3
/
ATOMIC_SPECIES
La 138.91 La.upf
Re 186.21 Re.upf
N 14.01 N.upf
CELL_PARAMETERS angstrom
0.000 5.082 5.082
5.082 0.000 5.082
5.082 5.082 0.000
ATOMIC_POSITIONS crystal
La 0.125 0.125 0.125
La 0.875 0.875 0.875
Re 0.000 0.500 0.500
Re 0.500 0.000 0.500
Re 0.500 0.500 0.000
Re 0.500 0.500 0.500
N 0.176 0.176 0.574
N 0.176 0.574 0.176
N 0.176 0.574 0.574
N 0.426 0.426 0.824
N 0.426 0.824 0.426
N 0.426 0.824 0.824
N 0.574 0.176 0.176
N 0.574 0.176 0.574
N 0.574 0.574 0.176
N 0.824 0.426 0.426
N 0.824 0.426 0.824
N 0.824 0.824 0.426
```


Number 1: ρ 7.43 Mg/m³, M_tot 0.000 μB per atom, formation energy (no corrections) -0.4951 eV/atom. Number 2: ρ 10.16 Mg/m³, M_tot 0.000 μB per atom, formation energy (no corrections) 0.0884 eV/atom. Number 3: ρ 6.37 Mg/m³, M_tot 0.097 μB per atom, formation energy (no corrections) -0.5091 eV/atom. Number 4: ρ 10.69 Mg/m³, M_tot 0.000 μB per atom, formation energy (no corrections) 0.4737 eV/atom. Number 5: ρ 7.63 Mg/m³, M_tot 0.000 μB per atom, formation energy (no corrections) -0.5007 eV/atom. Number 6: ρ 7.47 Mg/m³, M_tot 0.000 μB per atom, formation energy (no corrections) -0.5472 eV/atom. Number 7: ρ 8.13 Mg/m³, M_tot 0.000 μB per atom, formation energy (no corrections) -0.9340 eV/atom. Number 8: ρ 8.80 Mg/m³, M_tot 0.083 μB per atom, formation energy (no corrections) -0.4131 eV/atom. Number 9: ρ 9.22 Mg/m³, M_tot 0.000 μB per atom, formation energy (no corrections) -0.9408 eV/atom. Number 10: ρ 7.98 Mg/m³, M_tot 0.000 μB per atom, formation energy (no corrections) -0.4775 eV/atom. Number 11: ρ 9.78 Mg/m³, M_tot 0.000 μB per atom, formation energy (no corrections) -0.7502 eV/atom. Number 12: ρ 7.48 Mg/m³, M_tot 0.000 μB per atom, formation energy (no corrections) -0.7075 eV/atom. Number 13: ρ 7.32 Mg/m³, M_tot 0.000 μB per atom, formation energy (no corrections) -0.4538 eV/atom. Number 14: ρ 9.39 Mg/m³, M_tot 0.000 μB per atom, formation energy (no corrections) -0.5570 eV/atom. Number 15: ρ 7.14 Mg/m³, M_tot 0.000 μB per atom, formation energy (no corrections) -0.0408 eV/atom. Number 16: ρ 8.54 Mg/m³, M_tot 0.000 μB per atom, formation energy (no corrections) -0.4173 eV/atom. Number 17: ρ 8.30 Mg/m³, M_tot 0.000 μB per atom, formation energy (no corrections) -0.3799 eV/atom. Number 18: ρ 7.10 Mg/m³, M_tot 0.000 μB per atom, formation energy (no corrections) -0.5429 eV/atom. Number 19: ρ 7.53 Mg/m³, M_tot 0.000 μB per atom, formation energy (no corrections) 0.4774 eV/atom.